The following is a PBE calculation of crystalline Tc2HgSb at its relaxed geometry, from Alexandria via LeMat-Bulk.

a b c (Å): 10.2599 10.2599 10.2599
angles (deg): 156.82 156.82 33.02
Closest atoms and distances in Å follow each position.
Atoms (fractional coordinates):
Tc: 0.0293 0.6250 0.9043  2 Tc 2.42
Tc: 0.3750 0.2793 0.4043  2 Tc 2.42
Tc: 0.7207 0.1250 0.0957  2 Tc 2.42
Tc: 0.8750 0.9707 0.5957  2 Tc 2.42
Hg: 0.2500 0.7500 0.5000  4 Sb 2.92, 4 Tc 3.02
Hg: 0.5000 0.5000 0.0000  4 Sb 2.92, 4 Tc 3.02
Sb: 0.0000 0.0000 0.0000  4 Tc 2.74, 4 Hg 2.92
Sb: 0.7500 0.2500 0.5000  4 Tc 2.74, 4 Hg 2.92

Properties
The value obtained for the uncorrected formation energy is 753 meV/atom. The space group is No. 122. Its total moment is 0.0 μB per formula unit. The calculation puts the density of states at the Fermi level at 0.65 states/eV/atom. The calculation puts the polymorph energy (0 for the lowest one) at 2.29 eV per formula unit.